First-principles (PBE) data for a relaxed structure of Dy3ThRu3, as listed in Alexandria.

POSCAR file:
```
Dy3ThRu3
1.0
5.529 -0.048 -1.921
-2.842 4.912 -2.011
0.028 -0.048 5.853
Dy Ru Th
3 3 1
direct
0.000 0.004 0.409
0.409 0.004 0.000
0.591 0.594 0.591
0.000 0.500 0.490
0.510 0.010 0.510
0.490 0.500 0.000
0.000 0.414 0.000
```

Computed properties:
Space group   R3m (160)
ΔH_f (0 K)   -420 meV per atom
Final energy   -51.995 eV per cell